# Mg6Ag8Au, optimized geometry, DFT PBE
# V in Å³ per cell: 296.0
# Formation enthalpy at 0 K in eV per atom: -0.093
# Space group: R-3
# Total magnetization in μB per atom: 0.00
data_Mg6Ag8Au
_chemical_formula_sum 'Mg6 Ag8 Au1'
_cell_length_a 7.162
_cell_length_b 7.162
_cell_length_c 7.162
_cell_angle_alpha 66.47
_cell_angle_beta 66.47
_cell_angle_gamma 66.47
_symmetry_space_group_name_H-M 'P 1'
_symmetry_Int_Tables_number 1
_symmetry_space_group_name_Hall 'P 1'
loop_
_atom_site_label
_atom_site_type_symbol
_atom_site_fract_x
_atom_site_fract_y
_atom_site_fract_z
_atom_site_occupancy
Mg1 Mg 0.122 0.392 0.842 1
Mg2 Mg 0.158 0.878 0.608 1
Mg3 Mg 0.392 0.842 0.122 1
Mg4 Mg 0.608 0.158 0.878 1
Mg5 Mg 0.842 0.122 0.392 1
Mg6 Mg 0.878 0.608 0.158 1
Ag1 Ag 0.087 0.667 0.381 1
Ag2 Ag 0.246 0.246 0.246 1
Ag3 Ag 0.333 0.619 0.913 1
Ag4 Ag 0.381 0.087 0.667 1
Ag5 Ag 0.619 0.913 0.333 1
Ag6 Ag 0.667 0.381 0.087 1
Ag7 Ag 0.754 0.754 0.754 1
Ag8 Ag 0.913 0.333 0.619 1
Au1 Au 0.500 0.500 0.500 1

=====

# KRbTlAs, optimized geometry, DFT PBE
# V in Å³ per cell: 314.2
# Formation enthalpy at 0 K in eV per atom: -0.292
# Space group: Amm2
# Total magnetization in μB per atom: 0.00
# ΔE to the lowest computed polymorph in eV/atom: 0.000
data_KRbTlAs
_chemical_formula_sum 'K2 Rb2 Tl2 As2'
_cell_length_a 4.428
_cell_length_b 5.368
_cell_length_c 13.215
_cell_angle_alpha 90.00
_cell_angle_beta 90.00
_cell_angle_gamma 90.00
_symmetry_space_group_name_H-M 'P 1'
_symmetry_Int_Tables_number 1
_symmetry_space_group_name_Hall 'P 1'
loop_
_atom_site_label
_atom_site_type_symbol
_atom_site_fract_x
_atom_site_fract_y
_atom_site_fract_z
_atom_site_occupancy
K1 K 0.000 0.000 0.000 1
K2 K 0.000 0.500 0.500 1
Rb1 Rb 0.500 0.000 0.297 1
Rb2 Rb 0.500 0.500 0.797 1
Tl1 Tl 0.000 0.000 0.698 1
Tl2 Tl 0.000 0.500 0.198 1
As1 As 0.500 0.000 0.566 1
As2 As 0.500 0.500 0.066 1

=====

# KRbVTe3, optimized geometry, DFT PBE
# Raw formation energy in eV per atom: -0.53
# V in Å³ per cell: 453.5
# Space group: C2/m
# Total magnetization in μB per atom: 0.00
data_KRbVTe3
_chemical_formula_sum 'K2 Rb2 V2 Te6'
_cell_length_a 7.378
_cell_length_b 7.378
_cell_length_c 9.327
_cell_angle_alpha 104.33
_cell_angle_beta 104.33
_cell_angle_gamma 69.50
_symmetry_space_group_name_H-M 'P 1'
_symmetry_Int_Tables_number 1
_symmetry_space_group_name_Hall 'P 1'
loop_
_atom_site_label
_atom_site_type_symbol
_atom_site_fract_x
_atom_site_fract_y
_atom_site_fract_z
_atom_site_occupancy
K1 K 0.244 0.756 0.000 1
K2 K 0.756 0.244 0.000 1
Rb1 Rb 0.324 0.324 0.286 1
Rb2 Rb 0.676 0.676 0.714 1
V1 V 0.042 0.042 0.634 1
V2 V 0.958 0.958 0.366 1
Te1 Te 0.130 0.674 0.610 1
Te2 Te 0.232 0.232 0.860 1
Te3 Te 0.326 0.870 0.390 1
Te4 Te 0.674 0.130 0.610 1
Te5 Te 0.768 0.768 0.140 1
Te6 Te 0.870 0.326 0.390 1

=====

# SrFeW4, optimized geometry, DFT PBE
# V in Å³ per cell: 114.5
# Formation enthalpy at 0 K in eV per atom: 0.910
# Space group: F-43m
# Total magnetization in μB per atom: 0.37
data_SrFeW4
_chemical_formula_sum 'Sr1 Fe1 W4'
_cell_length_a 5.450
_cell_length_b 5.450
_cell_length_c 5.450
_cell_angle_alpha 60.00
_cell_angle_beta 60.00
_cell_angle_gamma 60.00
_symmetry_space_group_name_H-M 'P 1'
_symmetry_Int_Tables_number 1
_symmetry_space_group_name_Hall 'P 1'
loop_
_atom_site_label
_atom_site_type_symbol
_atom_site_fract_x
_atom_site_fract_y
_atom_site_fract_z
_atom_site_occupancy
Sr1 Sr 0.000 0.000 0.000 1
Fe1 Fe 0.250 0.250 0.250 1
W1 W 0.124 0.625 0.625 1
W2 W 0.625 0.124 0.625 1
W3 W 0.625 0.625 0.124 1
W4 W 0.625 0.625 0.625 1

=====

# SrYAgSe3, optimized geometry, DFT PBE
# Raw formation energy in eV per atom: -1.52
# V in Å³ per cell: 321.7
# Space group: P2_1/m
# Total magnetization in μB per atom: 0.00
data_SrYAgSe3
_chemical_formula_sum 'Sr2 Y2 Ag2 Se6'
_cell_length_a 8.474
_cell_length_b 4.185
_cell_length_c 9.359
_cell_angle_alpha 90.00
_cell_angle_beta 104.25
_cell_angle_gamma 90.00
_symmetry_space_group_name_H-M 'P 1'
_symmetry_Int_Tables_number 1
_symmetry_space_group_name_Hall 'P 1'
loop_
_atom_site_label
_atom_site_type_symbol
_atom_site_fract_x
_atom_site_fract_y
_atom_site_fract_z
_atom_site_occupancy
Sr1 Sr 0.199 0.250 0.245 1
Sr2 Sr 0.801 0.750 0.755 1
Y1 Y 0.324 0.750 0.835 1
Y2 Y 0.676 0.250 0.165 1
Ag1 Ag 0.091 0.250 0.587 1
Ag2 Ag 0.909 0.750 0.413 1
Se1 Se 0.098 0.250 0.872 1
Se2 Se 0.260 0.750 0.517 1
Se3 Se 0.437 0.750 0.155 1
Se4 Se 0.563 0.250 0.845 1
Se5 Se 0.740 0.250 0.483 1
Se6 Se 0.902 0.750 0.128 1

=====

# GeINO2, optimized geometry, DFT PBE
# Raw formation energy in eV per atom: 0.24
# V in Å³ per cell: 59.5
# Space group: P4/mmm
# Total magnetization in μB per atom: 0.00
data_GeINO2
_chemical_formula_sum 'Ge1 I1 N1 O2'
_cell_length_a 3.769
_cell_length_b 3.769
_cell_length_c 4.185
_cell_angle_alpha 90.00
_cell_angle_beta 90.00
_cell_angle_gamma 90.00
_symmetry_space_group_name_H-M 'P 1'
_symmetry_Int_Tables_number 1
_symmetry_space_group_name_Hall 'P 1'
loop_
_atom_site_label
_atom_site_type_symbol
_atom_site_fract_x
_atom_site_fract_y
_atom_site_fract_z
_atom_site_occupancy
Ge1 Ge 0.000 0.000 0.000 1
I1 I 0.500 0.500 0.500 1
N1 N 0.000 0.000 0.500 1
O1 O 0.000 0.500 0.000 1
O2 O 0.500 0.000 0.000 1

=====

# BaAs2W, optimized geometry, DFT PBE
# V in Å³ per cell: 228.2
# Formation enthalpy at 0 K in eV per atom: -0.110
# Space group: Amm2
# Total magnetization in μB per atom: 0.00
# ΔE to the lowest computed polymorph in eV/atom: 0.129
data_BaAs2W
_chemical_formula_sum 'Ba2 As4 W2'
_cell_length_a 4.719
_cell_length_b 3.891
_cell_length_c 12.431
_cell_angle_alpha 90.00
_cell_angle_beta 90.00
_cell_angle_gamma 90.00
_symmetry_space_group_name_H-M 'P 1'
_symmetry_Int_Tables_number 1
_symmetry_space_group_name_Hall 'P 1'
loop_
_atom_site_label
_atom_site_type_symbol
_atom_site_fract_x
_atom_site_fract_y
_atom_site_fract_z
_atom_site_occupancy
Ba1 Ba 0.000 0.000 0.000 1
Ba2 Ba 0.000 0.500 0.500 1
As1 As 0.000 0.000 0.716 1
As2 As 0.000 0.500 0.216 1
As3 As 0.500 0.000 0.385 1
As4 As 0.500 0.500 0.885 1
W1 W 0.500 0.000 0.760 1
W2 W 0.500 0.500 0.260 1

=====

# SmPu2Cl6, optimized geometry, DFT PBE
# Raw formation energy in eV per atom: -1.82
# V in Å³ per cell: 282.7
# Space group: C2/m
# Total magnetization in μB per atom: 1.42
data_SmPu2Cl6
_chemical_formula_sum 'Sm1 Pu2 Cl6'
_cell_length_a 7.751
_cell_length_b 7.751
_cell_length_c 10.295
_cell_angle_alpha 110.46
_cell_angle_beta 110.46
_cell_angle_gamma 29.36
_symmetry_space_group_name_H-M 'P 1'
_symmetry_Int_Tables_number 1
_symmetry_space_group_name_Hall 'P 1'
loop_
_atom_site_label
_atom_site_type_symbol
_atom_site_fract_x
_atom_site_fract_y
_atom_site_fract_z
_atom_site_occupancy
Sm1 Sm 0.000 0.000 0.000 1
Pu1 Pu 0.334 0.334 0.662 1
Pu2 Pu 0.666 0.666 0.338 1
Cl1 Cl 0.019 0.019 0.278 1
Cl2 Cl 0.308 0.308 0.379 1
Cl3 Cl 0.359 0.359 0.952 1
Cl4 Cl 0.641 0.641 0.048 1
Cl5 Cl 0.692 0.692 0.621 1
Cl6 Cl 0.981 0.981 0.722 1

=====

Number 3 is which compound? KRbVTe3